No. 1
Density functional theory data (PBE-GGA) for an optimized crystal structure of BaAsAuO.

Cell: 4.6267 4.6267 8.6584 Å, 90.00 90.00 90.00°
With the nearest neighbours (Å) after each atom.
Element x y z (fractional)
1 As 0.0000 0.5000 0.3564  4 Au 2.63
2 As 0.5000 0.0000 0.6436  4 Au 2.63
3 Au 0.0000 0.0000 0.5000  4 As 2.63
4 Au 0.5000 0.5000 0.5000  4 As 2.63
5 Ba 0.5000 0.0000 0.1292  4 O 2.57
6 Ba 0.0000 0.5000 0.8708  4 O 2.57
7 O 0.0000 0.0000 0.0000  4 Ba 2.57
8 O 0.5000 0.5000 0.0000  4 Ba 2.57

Computed properties:
ΔE to the lowest computed polymorph = 23 meV per atom
Volume = 92.7 Å³/f.u.


No. 2
Density functional theory data (PBE-GGA) for an optimized crystal structure of BaAsAuO.

Cell: 6.4936 6.4936 4.9785 Å, 90.00 90.00 90.00°
With the nearest neighbours (Å) after each atom.
Element x y z (fractional)
1 As 0.7500 0.7500 0.0036  2 Au 2.49
2 As 0.2500 0.2500 0.9964  2 Au 2.49
3 Au 0.2500 0.2500 0.4960  2 As 2.49
4 Au 0.7500 0.7500 0.5040  2 As 2.49
5 Ba 0.7500 0.2500 0.5000  2 O 2.49
6 Ba 0.2500 0.7500 0.5000  2 O 2.49
7 O 0.7500 0.2500 0.0000  2 Ba 2.49
8 O 0.2500 0.7500 0.0000  2 Ba 2.49

Computed properties:
ΔE to the lowest computed polymorph = 639 meV per atom
Volume = 105.0 Å³/f.u.


No. 3
Density functional theory data (PBE-GGA) for an optimized crystal structure of Ba2AsPAu2.

Cell: 4.5454 4.5454 9.2000 Å, 90.00 90.00 120.00°
With the nearest neighbours (Å) after each atom.
Element x y z (fractional)
1 As 0.0000 0.0000 0.0000  3 Au 2.62
2 Au 0.3333 0.6667 0.0000  3 As 2.62
3 Au 0.0000 0.0000 0.5000  3 P 2.62
4 Ba 0.6667 0.3333 0.2539  6 Au 3.47-3.51, 3 P 3.47, 3 As 3.51
5 Ba 0.6667 0.3333 0.7461  6 Au 3.47-3.51, 3 P 3.47, 3 As 3.51
6 P 0.3333 0.6667 0.5000  3 Au 2.62

Computed properties:
Total energy = -4.308 eV/atom
Volume = 164.6 Å³/f.u.


No. 4
Density functional theory data (PBE-GGA) for an optimized crystal structure of Ba2AsPAu2.

Cell: 4.5389 4.5389 9.2301 Å, 90.00 90.00 120.00°
With the nearest neighbours (Å) after each atom.
Element x y z (fractional)
1 As 0.0000 0.0000 0.4984  3 Au 2.62
2 Au 0.0000 0.0000 0.0009  3 P 2.62
3 Au 0.3333 0.6667 0.5013  3 As 2.62
4 Ba 0.6667 0.3333 0.2465  6 Au 3.47-3.52, 3 P 3.48, 3 As 3.50
5 Ba 0.6667 0.3333 0.7543  3 P 3.46, 6 Au 3.47-3.51, 3 As 3.53
6 P 0.3333 0.6667 0.9987  3 Au 2.62

Computed properties:
Total energy = -4.308 eV/atom
Volume = 164.7 Å³/f.u.


No. 5
Density functional theory data (PBE-GGA) for an optimized crystal structure of Ba2SbAsAu2.

Cell: 4.7375 4.7375 9.2988 Å, 90.00 90.00 120.00°
With the nearest neighbours (Å) after each atom.
Element x y z (fractional)
1 As 0.3333 0.6667 0.4987  3 Au 2.74
2 Au 0.3333 0.6667 0.0018  3 Sb 2.74
3 Au 0.6667 0.3333 0.5012  3 As 2.74
4 Ba 0.0000 0.0000 0.2597  3 As 3.52, 6 Au 3.54-3.64, 3 Sb 3.66
5 Ba 0.0000 0.0000 0.7400  6 Au 3.52-3.66, 3 As 3.54, 3 Sb 3.64
6 Sb 0.6667 0.3333 0.9985  3 Au 2.74

Computed properties:
Total energy = -4.113 eV/atom
Volume = 180.7 Å³/f.u.


No. 6
Density functional theory data (PBE-GGA) for an optimized crystal structure of BaSbAsAu2.

Cell: 4.9340 4.7931 10.7296 Å, 90.00 91.63 90.00°
With the nearest neighbours (Å) after each atom.
Element x y z (fractional)
1 As 0.2518 0.2500 0.4986  4 Au 2.68-2.74
2 As 0.7482 0.7500 0.5014  4 Au 2.68-2.74
3 Au 0.8102 0.7500 0.0006  4 Sb 2.83-2.85, 2 Au 3.04
4 Au 0.7473 0.2500 0.3904  4 As 2.68-2.74, 1 Sb 2.79
5 Au 0.2527 0.7500 0.6096  4 As 2.68-2.74, 1 Sb 2.79
6 Au 0.1898 0.2500 0.9994  4 Sb 2.83-2.85, 2 Au 3.04
7 Ba 0.2357 0.7500 0.2631  8 Au 3.46-3.72, 4 As 3.48-3.56, 4 Sb 3.62-3.83
8 Ba 0.7643 0.2500 0.7369  8 Au 3.46-3.72, 4 As 3.48-3.56, 4 Sb 3.62-3.83
9 Sb 0.6961 0.2500 0.1305  5 Au 2.79-2.85
10 Sb 0.3039 0.7500 0.8695  5 Au 2.79-2.85

Computed properties:
Total energy = -4.043 eV/atom
Volume = 126.8 Å³/f.u.


No. 7
Density functional theory data (PBE-GGA) for an optimized crystal structure of BaSrAs2Au2.

Cell: 4.5635 4.5635 8.7189 Å, 90.00 90.00 120.00°
With the nearest neighbours (Å) after each atom.
Element x y z (fractional)
1 As 0.3333 0.6667 0.2417  3 Au 2.64
2 As 0.6667 0.3333 0.7583  3 Au 2.64
3 Au 0.6667 0.3333 0.2332  3 As 2.64
4 Au 0.3333 0.6667 0.7668  3 As 2.64
5 Ba 0.0000 0.0000 0.5000  6 As 3.47, 6 Au 3.51
6 Sr 0.0000 0.0000 0.0000  6 Au 3.33, 6 As 3.37

Computed properties:
Total energy = -4.172 eV/atom
Volume = 157.3 Å³/f.u.


No. 8
Density functional theory data (PBE-GGA) for an optimized crystal structure of BaSrAs2Au2.

Cell: 4.5601 4.5601 8.7016 Å, 90.00 90.00 120.00°
With the nearest neighbours (Å) after each atom.
Element x y z (fractional)
1 As 0.6667 0.3333 0.0083  3 Au 2.63
2 As 0.3333 0.6667 0.4903  3 Au 2.63
3 Au 0.3333 0.6667 0.0173  3 As 2.63
4 Au 0.6667 0.3333 0.4838  3 As 2.63
5 Ba 0.0000 0.0000 0.7502  6 As 3.46-3.47, 6 Au 3.51
6 Sr 0.0000 0.0000 0.2500  6 Au 3.32-3.33, 6 As 3.36-3.37

Computed properties:
Total energy = -4.171 eV/atom
Volume = 156.7 Å³/f.u.


No. 9
Density functional theory data (PBE-GGA) for an optimized crystal structure of BeAs2Au.

Cell: 4.5864 4.5864 4.5864 Å, 60.00 60.00 60.00°
With the nearest neighbours (Å) after each atom.
Element x y z (fractional)
1 As 0.0000 0.0000 0.0000  4 As 2.81, 4 Au 2.81
2 As 0.7500 0.7500 0.7500  4 Be 2.81, 4 As 2.81
3 Au 0.2500 0.2500 0.2500  4 Be 2.81, 4 As 2.81
4 Be 0.5000 0.5000 0.5000  4 As 2.81, 4 Au 2.81

Computed properties:
Total energy = -3.555 eV/atom
Volume = 68.2 Å³/f.u.


No. 10
Density functional theory data (PBE-GGA) for an optimized crystal structure of BeAsAu2.

Cell: 4.5687 4.5687 4.5687 Å, 60.00 60.00 60.00°
With the nearest neighbours (Å) after each atom.
Element x y z (fractional)
1 As 0.5000 0.5000 0.5000  4 Be 2.80, 4 Au 2.80
2 Au 0.0000 0.0000 0.0000  4 Au 2.80, 4 Be 2.80
3 Au 0.7500 0.7500 0.7500  4 Au 2.80, 4 As 2.80
4 Be 0.2500 0.2500 0.2500  4 As 2.80, 4 Au 2.80

Computed properties:
Total energy = -3.336 eV/atom
Volume = 67.4 Å³/f.u.


No. 11
Density functional theory data (PBE-GGA) for an optimized crystal structure of BeFeAsAu.

Cell: 4.2773 4.2773 4.2773 Å, 60.00 60.00 60.00°
With the nearest neighbours (Å) after each atom.
Element x y z (fractional)
1 As 0.0000 0.0000 0.0000  4 Au 2.62, 4 Fe 2.62
2 Au 0.2500 0.2500 0.2500  4 As 2.62, 4 Be 2.62
3 Be 0.5000 0.5000 0.5000  4 Au 2.62, 4 Fe 2.62
4 Fe 0.7500 0.7500 0.7500  4 Be 2.62, 4 As 2.62

Computed properties:
ΔE to the lowest computed polymorph = 16 meV per atom
Volume = 55.3 Å³/f.u.


No. 12
Density functional theory data (PBE-GGA) for an optimized crystal structure of BeFeAsAu.

Cell: 4.3178 4.3178 4.3178 Å, 60.00 60.00 60.00°
With the nearest neighbours (Å) after each atom.
Element x y z (fractional)
1 As 0.0000 0.0000 0.0000  4 Fe 2.64, 4 Be 2.64
2 Au 0.5000 0.5000 0.5000  4 Be 2.64, 4 Fe 2.64
3 Be 0.2500 0.2500 0.2500  4 Au 2.64, 4 As 2.64
4 Fe 0.7500 0.7500 0.7500  4 As 2.64, 4 Au 2.64

Computed properties:
ΔE to the lowest computed polymorph = 0 meV per atom
Volume = 56.9 Å³/f.u.